VASP calculation (GGA+U) on a relaxed structure of PWAuO2.

Properties
Calculated density in g cm⁻³: 9.4
DFT total energy in eV per atom: -5.975

a = 3.8188 Å, b = 3.8188 Å, c = 5.3680 Å
α = 90.00°, β = 90.00°, γ = 90.00°
With the nearest neighbours (Å) after each atom.
Fractional positions:
W (0.0000, 0.0000, 0.0000)  4 O 1.91
Au (0.5000, 0.5000, 0.5000)  4 P 2.70
O (0.0000, 0.5000, 0.0000)  2 W 1.91
O (0.5000, 0.0000, 0.0000)  2 W 1.91
P (0.0000, 0.0000, 0.5000)  2 W 2.68, 4 Au 2.70